1.
Computed, not measured: an optimized crystal structure of NaTl2HgI4 at the PBE level of DFT.

Values from the calculation:
Symmetry   No. 10
Formation energy from raw total energies   -0.625 eV/atom

Cell lengths 8.384, 4.788, 8.391 Å; angles 90.00, 109.44, 90.00 degrees
Atoms (fractional coordinates):
Na 0.000 0.000 0.000
Tl 0.000 0.500 0.500
Tl 0.500 0.000 0.500
Hg 0.500 0.500 0.000
I 0.235 0.500 0.230
I 0.249 0.000 0.765
I 0.751 0.000 0.235
I 0.765 0.500 0.770

---

2.
Computed, not measured: an optimized crystal structure of Na3Tl3HgI8 at the PBE level of DFT.

Values from the calculation:
Symmetry   No. 12
Formation energy from raw total energies   -0.801 eV/atom

Cell lengths 9.379, 9.379, 9.801 Å; angles 118.63, 118.63, 59.95 degrees
Atoms (fractional coordinates):
Na 0.000 0.000 0.000
Na 0.000 0.500 0.000
Na 0.500 0.000 0.000
Tl 0.000 0.500 0.500
Tl 0.500 0.000 0.500
Tl 0.500 0.500 0.500
Hg 0.500 0.500 0.000
I 0.241 0.241 0.223
I 0.254 0.729 0.213
I 0.271 0.271 0.787
I 0.271 0.746 0.787
I 0.729 0.254 0.213
I 0.729 0.729 0.213
I 0.746 0.271 0.787
I 0.759 0.759 0.777

---

3.
Computed, not measured: an optimized crystal structure of Na3TlHg4I12 at the PBE level of DFT.

Values from the calculation:
Symmetry   No. 155
Formation energy from raw total energies   -0.575 eV/atom

Cell lengths 10.392, 10.392, 10.392 Å; angles 105.11, 105.11, 105.11 degrees
Atoms (fractional coordinates):
Na 0.000 0.550 0.450
Na 0.450 0.000 0.550
Na 0.550 0.450 0.000
Tl 0.000 0.000 0.000
Hg 0.062 0.500 0.938
Hg 0.500 0.500 0.500
Hg 0.500 0.938 0.062
Hg 0.938 0.062 0.500
I 0.046 0.678 0.783
I 0.107 0.893 0.500
I 0.217 0.322 0.954
I 0.322 0.954 0.217
I 0.333 0.667 0.500
I 0.500 0.107 0.893
I 0.500 0.333 0.667
I 0.667 0.500 0.333
I 0.678 0.783 0.046
I 0.783 0.046 0.678
I 0.893 0.500 0.107
I 0.954 0.217 0.322